# 1
Computed, not measured: a geometry-optimized Dy6ErTm2Sc structure at the PBE level of DFT.

Its space-group type is C2/c, No. 15. Its volume is 30.74 Å³/atom. The spin magnetization comes out at 0.001 μB/cell. The value obtained for the energy of formation from the pure elements is 0.128 eV per atom.

Cell: 9.3656 8.6299 8.6299 Å, 117.26 93.85 93.85°
With the nearest neighbours (Å) after each atom.
Atoms (fractional coordinates):
Dy: 0.0546 0.1246 0.7543  7 Dy 3.38-3.68, 1 Tm 3.44, 1 Er 3.58
Dy: 0.4454 0.2457 0.8754  7 Dy 3.38-3.68, 1 Tm 3.44, 1 Er 3.58
Dy: 0.9454 0.8754 0.2457  7 Dy 3.38-3.68, 1 Tm 3.44, 1 Er 3.58
Dy: 0.5546 0.7543 0.1246  7 Dy 3.38-3.68, 1 Tm 3.44, 1 Er 3.58
Dy: 0.3113 0.9931 0.4357  3 Dy 3.21-3.57, 1 Tm 3.33, 1 Sc 3.35, 1 Er 3.51
Dy: 0.1887 0.5643 0.0069  3 Dy 3.21-3.57, 1 Tm 3.33, 1 Sc 3.35, 1 Er 3.51
Dy: 0.6887 0.0069 0.5643  3 Dy 3.21-3.57, 1 Tm 3.33, 1 Sc 3.35, 1 Er 3.51
Dy: 0.8113 0.4357 0.9931  3 Dy 3.21-3.57, 1 Tm 3.33, 1 Sc 3.35, 1 Er 3.51
Dy: 0.1170 0.7072 0.4941  3 Tm 3.17-3.35, 4 Dy 3.21-3.46, 2 Sc 3.29-3.45
Dy: 0.3830 0.5059 0.2928  3 Tm 3.17-3.35, 4 Dy 3.21-3.46, 2 Sc 3.29-3.45
Dy: 0.8830 0.2928 0.5059  3 Tm 3.17-3.35, 4 Dy 3.21-3.46, 2 Sc 3.29-3.45
Dy: 0.6170 0.4941 0.7072  3 Tm 3.17-3.35, 4 Dy 3.21-3.46, 2 Sc 3.29-3.45
Er: 0.2500 0.9771 0.0229  4 Tm 3.32-3.38, 4 Dy 3.51-3.58
Er: 0.7500 0.0229 0.9771  4 Tm 3.32-3.38, 4 Dy 3.51-3.58
Tm: 0.4531 0.7995 0.6968  5 Dy 3.17-3.44, 2 Er 3.32-3.38, 1 Sc 3.41
Tm: 0.0469 0.3032 0.2005  5 Dy 3.17-3.44, 2 Er 3.32-3.38, 1 Sc 3.41
Tm: 0.5469 0.2005 0.3032  5 Dy 3.17-3.44, 2 Er 3.32-3.38, 1 Sc 3.41
Tm: 0.9531 0.6968 0.7995  5 Dy 3.17-3.44, 2 Er 3.32-3.38, 1 Sc 3.41
Sc: 0.2500 0.4129 0.5871  6 Dy 3.29-3.45, 2 Tm 3.41
Sc: 0.7500 0.5871 0.4129  6 Dy 3.29-3.45, 2 Tm 3.41

---

# 2
Computed, not measured: a geometry-optimized Dy4Er2TmSc structure at the PBE level of DFT.

Its space-group type is P4/mmm, No. 123. Its volume is 30.07 Å³/atom. The spin magnetization comes out at 0.000 μB/cell. The value obtained for the energy of formation from the pure elements is 0.032 eV per atom.

Cell: 4.9452 4.9463 11.0080 Å, 63.32 90.00 90.00°
With the nearest neighbours (Å) after each atom.
Atoms (fractional coordinates):
Dy: 0.0000 0.2540 0.2460  4 Er 3.46-3.51, 2 Sc 3.46, 4 Dy 3.50, 2 Tm 3.51-3.52
Dy: 0.0000 0.7460 0.7540  4 Er 3.46-3.51, 2 Sc 3.46, 4 Dy 3.50, 2 Tm 3.51-3.52
Dy: 0.5000 0.2457 0.7542  2 Sc 3.46, 4 Er 3.46-3.52, 4 Dy 3.50, 2 Tm 3.52
Dy: 0.5000 0.7543 0.2458  2 Sc 3.46, 4 Er 3.46-3.52, 4 Dy 3.50, 2 Tm 3.52
Er: 0.0000 0.0000 0.0000  8 Dy 3.46, 4 Sc 3.50
Er: 0.5000 0.0000 0.5000  4 Tm 3.50, 8 Dy 3.51-3.52
Tm: 0.0000 0.5000 0.5000  4 Er 3.50, 8 Dy 3.51-3.52
Sc: 0.5000 0.5000 0.0000  8 Dy 3.46, 4 Er 3.50

---

# 3
Computed, not measured: a geometry-optimized Dy6Er2TmSc3 structure at the PBE level of DFT.

Its space-group type is C2/m, No. 12. Its volume is 29.30 Å³/atom. The spin magnetization comes out at 0.000 μB/cell. The value obtained for the energy of formation from the pure elements is 0.043 eV per atom.

Cell: 6.0143 6.0143 11.3946 Å, 95.04 95.04 119.95°
With the nearest neighbours (Å) after each atom.
Atoms (fractional coordinates):
Dy: 0.9139 0.5806 0.7421  3 Sc 3.38, 6 Dy 3.47, 2 Er 3.52, 1 Tm 3.52
Dy: 0.7528 0.7528 0.2579  3 Sc 3.38, 6 Dy 3.47, 1 Tm 3.52, 2 Er 3.52
Dy: 0.0861 0.4194 0.2579  3 Sc 3.38, 6 Dy 3.47, 2 Er 3.52, 1 Tm 3.52
Dy: 0.5806 0.9139 0.7421  3 Sc 3.38, 6 Dy 3.47, 2 Er 3.52, 1 Tm 3.52
Dy: 0.2472 0.2472 0.7421  3 Sc 3.38, 6 Dy 3.47, 1 Tm 3.52, 2 Er 3.52
Dy: 0.4194 0.0861 0.2579  3 Sc 3.38, 6 Dy 3.47, 2 Er 3.52, 1 Tm 3.52
Er: 0.3333 0.6667 0.0000  3 Tm 3.47, 3 Er 3.47, 6 Dy 3.52
Er: 0.6667 0.3333 0.0000  3 Tm 3.47, 3 Er 3.47, 6 Dy 3.52
Tm: 0.0000 0.0000 0.0000  6 Er 3.47, 6 Dy 3.52
Sc: 0.1665 0.8335 0.5000  6 Dy 3.38, 6 Sc 3.47-3.48
Sc: 0.8335 0.1665 0.5000  6 Dy 3.38, 6 Sc 3.47-3.48
Sc: 0.5000 0.5000 0.5000  6 Dy 3.38, 6 Sc 3.47

---

# 4
Computed, not measured: a geometry-optimized DyEr2TmSc2 structure at the PBE level of DFT.

Its space-group type is Pnnm, No. 58. Its volume is 28.54 Å³/atom. The spin magnetization comes out at 0.001 μB/cell. The value obtained for the energy of formation from the pure elements is 0.073 eV per atom.

Cell: 5.4034 9.3320 6.7920 Å, 90.00 90.00 90.00°
With the nearest neighbours (Å) after each atom.
Atoms (fractional coordinates):
Dy: 0.0000 0.0000 0.0000  2 Tm 3.40, 6 Sc 3.54-3.55, 6 Er 3.54-3.55
Dy: 0.5000 0.5000 0.5000  2 Tm 3.40, 6 Sc 3.54-3.55, 6 Er 3.54-3.55
Er: 0.5000 0.8335 0.2511  5 Sc 3.11-3.40
Er: 0.5000 0.1665 0.7489  5 Sc 3.11-3.40
Er: 0.0000 0.6665 0.7511  5 Sc 3.11-3.40
Er: 0.0000 0.3335 0.2489  5 Sc 3.11-3.40
Tm: 0.5000 0.5000 0.0000  2 Dy 3.40, 6 Sc 3.54-3.55, 6 Er 3.55
Tm: 0.0000 0.0000 0.5000  2 Dy 3.40, 6 Sc 3.54-3.55, 6 Er 3.55
Sc: 0.5000 0.1669 0.2500  5 Er 3.11-3.40
Sc: 0.0000 0.6669 0.2500  5 Er 3.11-3.40
Sc: 0.5000 0.8331 0.7500  5 Er 3.11-3.40
Sc: 0.0000 0.3331 0.7500  5 Er 3.11-3.40

---

# 5
Computed, not measured: a geometry-optimized Dy4ErTm2Sc structure at the PBE level of DFT.

Its space-group type is P4/mmm, No. 123. Its volume is 30.01 Å³/atom. The spin magnetization comes out at 0.000 μB/cell. The value obtained for the energy of formation from the pure elements is 0.033 eV per atom.

Cell: 4.9409 4.9440 11.0013 Å, 63.30 90.00 90.00°
With the nearest neighbours (Å) after each atom.
Atoms (fractional coordinates):
Dy: 0.0000 0.7544 0.7458  4 Tm 3.46-3.52, 2 Sc 3.46, 4 Dy 3.49, 2 Er 3.51
Dy: 0.0000 0.2456 0.2542  4 Tm 3.46-3.52, 2 Sc 3.46, 4 Dy 3.49, 2 Er 3.51
Dy: 0.5000 0.7453 0.2545  2 Sc 3.45, 4 Tm 3.45-3.52, 4 Dy 3.49, 2 Er 3.52
Dy: 0.5000 0.2547 0.7455  2 Sc 3.45, 4 Tm 3.45-3.52, 4 Dy 3.49, 2 Er 3.52
Er: 0.5000 0.5000 0.0000  4 Tm 3.49, 8 Dy 3.51-3.52
Tm: 0.0000 0.0000 0.0000  4 Er 3.49, 8 Dy 3.51-3.52
Tm: 0.5000 0.0000 0.5000  8 Dy 3.45-3.46, 4 Sc 3.49
Sc: 0.0000 0.5000 0.5000  8 Dy 3.45-3.46, 4 Tm 3.49

---

# 6
Computed, not measured: a geometry-optimized DyEr2Tm2Sc structure at the PBE level of DFT.

Its space-group type is Pnnm, No. 58. Its volume is 29.42 Å³/atom. The spin magnetization comes out at 0.024 μB/cell. The value obtained for the energy of formation from the pure elements is 0.101 eV per atom.

Cell: 5.4626 9.4600 6.8328 Å, 90.00 90.00 90.00°
With the nearest neighbours (Å) after each atom.
Atoms (fractional coordinates):
Dy: 0.5000 0.5000 0.0000  2 Sc 3.42, 6 Tm 3.57-3.60, 6 Er 3.59
Dy: 0.0000 0.0000 0.5000  2 Sc 3.42, 6 Tm 3.57-3.60, 6 Er 3.59
Er: 0.5000 0.8346 0.2469  5 Tm 3.15-3.45
Er: 0.5000 0.1654 0.7531  5 Tm 3.15-3.45
Er: 0.0000 0.6654 0.7469  5 Tm 3.15-3.45
Er: 0.0000 0.3346 0.2531  5 Tm 3.15-3.45
Tm: 0.5000 0.1678 0.2486  5 Er 3.15-3.45
Tm: 0.0000 0.6678 0.2514  5 Er 3.15-3.45
Tm: 0.5000 0.8322 0.7514  5 Er 3.15-3.45
Tm: 0.0000 0.3322 0.7486  5 Er 3.15-3.45
Sc: 0.0000 0.0000 0.0000  2 Dy 3.42, 6 Er 3.57-3.61, 6 Tm 3.58-3.59
Sc: 0.5000 0.5000 0.5000  2 Dy 3.42, 6 Er 3.57-3.61, 6 Tm 3.58-3.59

---

# 7
Computed, not measured: a geometry-optimized Dy2ErTm2Sc2 structure at the PBE level of DFT.

Its space-group type is C2/m, No. 12. Its volume is 29.37 Å³/atom. The spin magnetization comes out at 0.000 μB/cell. The value obtained for the energy of formation from the pure elements is 0.108 eV per atom.

Cell: 3.3923 5.8567 11.4175 Å, 72.10 90.00 106.83°
With the nearest neighbours (Å) after each atom.
Atoms (fractional coordinates):
Dy: 0.6717 0.3433 0.9122  4 Tm 3.37-3.49, 5 Dy 3.39-3.73, 2 Sc 3.48
Dy: 0.3283 0.6567 0.0878  4 Tm 3.37-3.49, 5 Dy 3.39-3.73, 2 Sc 3.48
Er: 0.0000 0.0000 0.5000  6 Sc 3.37-3.40, 2 Er 3.39, 4 Tm 3.39
Tm: 0.4523 0.9046 0.7685  3 Sc 3.34-3.42, 4 Dy 3.37-3.49, 2 Tm 3.39, 2 Er 3.39
Tm: 0.5477 0.0954 0.2315  3 Sc 3.34-3.42, 4 Dy 3.37-3.49, 2 Tm 3.39, 2 Er 3.39
Sc: 0.7723 0.5446 0.3660  3 Tm 3.34-3.42, 3 Er 3.37-3.40, 4 Sc 3.39, 2 Dy 3.48
Sc: 0.2277 0.4554 0.6340  3 Tm 3.34-3.42, 3 Er 3.37-3.40, 4 Sc 3.39, 2 Dy 3.48

---

# 8
Computed, not measured: a geometry-optimized Dy2ErTm4Sc structure at the PBE level of DFT.

Its space-group type is P4/mmm, No. 123. Its volume is 29.68 Å³/atom. The spin magnetization comes out at 0.000 μB/cell. The value obtained for the energy of formation from the pure elements is 0.035 eV per atom.

Cell: 4.9158 4.9165 10.9849 Å, 63.42 90.00 90.00°
With the nearest neighbours (Å) after each atom.
Atoms (fractional coordinates):
Dy: 0.0000 0.0000 0.0000  4 Er 3.48, 8 Tm 3.50
Dy: 0.5000 0.0000 0.5000  8 Tm 3.45, 4 Sc 3.48
Er: 0.5000 0.5000 0.0000  4 Dy 3.48, 8 Tm 3.50
Tm: 0.0000 0.7545 0.7460  2 Sc 3.45, 4 Dy 3.45-3.50, 4 Tm 3.48, 2 Er 3.50
Tm: 0.0000 0.2455 0.2540  2 Sc 3.45, 4 Dy 3.45-3.50, 4 Tm 3.48, 2 Er 3.50
Tm: 0.5000 0.7456 0.2538  4 Dy 3.45-3.50, 2 Sc 3.45, 4 Tm 3.48, 2 Er 3.50
Tm: 0.5000 0.2544 0.7462  4 Dy 3.45-3.50, 2 Sc 3.45, 4 Tm 3.48, 2 Er 3.50
Sc: 0.0000 0.5000 0.5000  8 Tm 3.45, 4 Dy 3.48

---

# 9
Computed, not measured: a geometry-optimized DyEr4Tm2Sc structure at the PBE level of DFT.

Its space-group type is P4/mmm, No. 123. Its volume is 29.68 Å³/atom. The spin magnetization comes out at 0.000 μB/cell. The value obtained for the energy of formation from the pure elements is 0.035 eV per atom.

Cell: 4.9125 4.9138 10.9939 Å, 63.47 90.00 90.00°
With the nearest neighbours (Å) after each atom.
Atoms (fractional coordinates):
Dy: 0.5000 0.5000 0.0000  4 Tm 3.47, 8 Er 3.51
Er: 0.0000 0.7545 0.7453  2 Sc 3.44-3.45, 4 Tm 3.44-3.51, 4 Er 3.47, 2 Dy 3.51
Er: 0.0000 0.2455 0.2546  2 Sc 3.44-3.45, 4 Tm 3.44-3.51, 4 Er 3.47, 2 Dy 3.51
Er: 0.5000 0.7457 0.2545  4 Tm 3.44-3.51, 2 Sc 3.44, 4 Er 3.47, 2 Dy 3.51
Er: 0.5000 0.2543 0.7455  4 Tm 3.44-3.51, 2 Sc 3.44, 4 Er 3.47, 2 Dy 3.51
Tm: 0.0000 0.0000 0.0000  4 Dy 3.47, 8 Er 3.51
Tm: 0.5000 0.0000 0.5000  8 Er 3.44-3.45, 4 Sc 3.47
Sc: 0.0000 0.5000 0.5000  8 Er 3.44-3.45, 4 Tm 3.47

---

# 10
Computed, not measured: a geometry-optimized DyEr2Tm6Sc3 structure at the PBE level of DFT.

Its space-group type is C2/m, No. 12. Its volume is 28.79 Å³/atom. The spin magnetization comes out at 0.000 μB/cell. The value obtained for the energy of formation from the pure elements is 0.044 eV per atom.

Cell: 5.9692 5.9692 11.3656 Å, 95.02 95.02 119.96°
With the nearest neighbours (Å) after each atom.
Atoms (fractional coordinates):
Dy: 0.0000 0.0000 0.0000  6 Er 3.45, 6 Tm 3.51
Er: 0.3333 0.6667 0.0000  3 Dy 3.45, 3 Er 3.45, 6 Tm 3.51
Er: 0.6667 0.3333 0.0000  3 Dy 3.45, 3 Er 3.45, 6 Tm 3.51
Tm: 0.9140 0.5805 0.7417  3 Sc 3.36, 6 Tm 3.45, 2 Er 3.51, 1 Dy 3.51
Tm: 0.7526 0.7526 0.2582  3 Sc 3.36, 6 Tm 3.45, 2 Er 3.51, 1 Dy 3.51
Tm: 0.0860 0.4195 0.2583  3 Sc 3.36, 6 Tm 3.45, 2 Er 3.51, 1 Dy 3.51
Tm: 0.5805 0.9140 0.7417  3 Sc 3.36, 6 Tm 3.45, 2 Er 3.51, 1 Dy 3.51
Tm: 0.2474 0.2474 0.7418  3 Sc 3.36, 6 Tm 3.45, 2 Er 3.51, 1 Dy 3.51
Tm: 0.4195 0.0860 0.2583  3 Sc 3.36, 6 Tm 3.45, 2 Er 3.51, 1 Dy 3.51
Sc: 0.1667 0.8333 0.5000  6 Tm 3.36, 6 Sc 3.45
Sc: 0.8333 0.1667 0.5000  6 Tm 3.36, 6 Sc 3.45
Sc: 0.5000 0.5000 0.5000  6 Tm 3.36, 6 Sc 3.45

---

# 11
Computed, not measured: a geometry-optimized Dy6Er2TmSc structure at the PBE level of DFT.

Its space-group type is C2/c, No. 15. Its volume is 30.80 Å³/atom. The spin magnetization comes out at 0.001 μB/cell. The value obtained for the energy of formation from the pure elements is 0.127 eV per atom.

Cell: 9.3800 8.6351 8.6351 Å, 117.31 93.94 93.94°
With the nearest neighbours (Å) after each atom.
Atoms (fractional coordinates):
Dy: 0.0548 0.1246 0.7543  7 Dy 3.38-3.68, 1 Er 3.44, 1 Tm 3.57
Dy: 0.4452 0.2457 0.8754  7 Dy 3.38-3.68, 1 Er 3.44, 1 Tm 3.57
Dy: 0.9452 0.8754 0.2457  7 Dy 3.38-3.68, 1 Er 3.44, 1 Tm 3.57
Dy: 0.5548 0.7543 0.1246  7 Dy 3.38-3.68, 1 Er 3.44, 1 Tm 3.57
Dy: 0.3110 0.9930 0.4348  3 Dy 3.21-3.56, 1 Er 3.33, 1 Sc 3.35, 1 Tm 3.51
Dy: 0.1890 0.5652 0.0070  3 Dy 3.21-3.56, 1 Er 3.33, 1 Sc 3.35, 1 Tm 3.51
Dy: 0.6890 0.0070 0.5652  3 Dy 3.21-3.56, 1 Er 3.33, 1 Sc 3.35, 1 Tm 3.51
Dy: 0.8110 0.4348 0.9930  3 Dy 3.21-3.56, 1 Er 3.33, 1 Sc 3.35, 1 Tm 3.51
Dy: 0.1171 0.7074 0.4942  3 Er 3.17-3.36, 4 Dy 3.21-3.46, 2 Sc 3.29-3.46
Dy: 0.3829 0.5058 0.2926  3 Er 3.17-3.36, 4 Dy 3.21-3.46, 2 Sc 3.29-3.46
Dy: 0.8829 0.2926 0.5058  3 Er 3.17-3.36, 4 Dy 3.21-3.46, 2 Sc 3.29-3.46
Dy: 0.6171 0.4942 0.7074  3 Er 3.17-3.36, 4 Dy 3.21-3.46, 2 Sc 3.29-3.46
Er: 0.4535 0.7997 0.6978  5 Dy 3.17-3.44, 2 Tm 3.32-3.37, 1 Sc 3.41
Er: 0.0465 0.3022 0.2003  5 Dy 3.17-3.44, 2 Tm 3.32-3.37, 1 Sc 3.41
Er: 0.5465 0.2003 0.3022  5 Dy 3.17-3.44, 2 Tm 3.32-3.37, 1 Sc 3.41
Er: 0.9535 0.6978 0.7997  5 Dy 3.17-3.44, 2 Tm 3.32-3.37, 1 Sc 3.41
Tm: 0.2500 0.9775 0.0225  4 Er 3.32-3.37, 4 Dy 3.51-3.57
Tm: 0.7500 0.0225 0.9775  4 Er 3.32-3.37, 4 Dy 3.51-3.57
Sc: 0.2500 0.4129 0.5871  6 Dy 3.29-3.46, 2 Er 3.41
Sc: 0.7500 0.5871 0.4129  6 Dy 3.29-3.46, 2 Er 3.41

---

# 12
Computed, not measured: a geometry-optimized Dy2Er5TmSc structure at the PBE level of DFT.

Its space-group type is Cmc2_1, No. 36. Its volume is 30.79 Å³/atom. The spin magnetization comes out at 0.001 μB/cell. The value obtained for the energy of formation from the pure elements is 0.165 eV per atom.

Cell: 5.4709 10.2504 10.2534 Å, 90.00 90.00 105.48°
With the nearest neighbours (Å) after each atom.
Atoms (fractional coordinates):
Dy: 0.8888 0.7775 0.8131  9 Er 3.24-3.55, 1 Sc 3.48
Dy: 0.1142 0.2284 0.7363  1 Sc 3.28, 6 Er 3.43-3.61, 2 Tm 3.58
Dy: 0.1112 0.2225 0.3131  9 Er 3.24-3.55, 1 Sc 3.48
Dy: 0.8858 0.7716 0.2363  1 Sc 3.28, 6 Er 3.43-3.61, 2 Tm 3.58
Er: 0.3769 0.7537 0.0210  4 Dy 3.48-3.52, 4 Er 3.55-3.67, 1 Sc 3.59
Er: 0.7249 0.4498 0.8200  1 Tm 2.98, 1 Dy 3.24, 2 Er 3.33
Er: 0.4821 0.9641 0.7399  2 Tm 3.10-3.25, 2 Dy 3.38
Er: 0.3006 0.6012 0.7046  1 Tm 3.32, 4 Er 3.33-3.60, 2 Sc 3.36, 3 Dy 3.43-3.70
Er: 0.9826 0.9651 0.5174  2 Tm 3.16, 3 Dy 3.29-3.46, 1 Sc 3.52
Er: 0.6231 0.2463 0.5210  4 Dy 3.48-3.52, 4 Er 3.55-3.67, 1 Sc 3.59
Er: 0.2751 0.5502 0.3200  1 Tm 2.98, 1 Dy 3.24, 2 Er 3.33
Er: 0.5179 0.0359 0.2399  2 Tm 3.10-3.25, 2 Dy 3.38
Er: 0.6994 0.3988 0.2046  1 Tm 3.32, 4 Er 3.33-3.60, 2 Sc 3.36, 3 Dy 3.43-3.70
Er: 0.0174 0.0349 0.0174  2 Tm 3.16, 3 Dy 3.29-3.46, 1 Sc 3.52
Tm: 0.5916 0.1831 0.9567  6 Er 2.98-3.32
Tm: 0.4084 0.8169 0.4567  6 Er 2.98-3.32
Sc: 0.8047 0.6093 0.5149  2 Dy 3.28-3.48, 7 Er 3.36-3.59, 2 Tm 3.47
Sc: 0.1953 0.3907 0.0149  2 Dy 3.28-3.48, 7 Er 3.36-3.59, 2 Tm 3.47